ScTaIr | PBE-GGA | relaxed

Results
Its energy relative to the lowest polymorph listed for this composition is 234 meV/atom. The calculation puts the formation energy from the elements at -1.05 eV/f.u. The total DFT energy (no corrections) comes out at -9.3665 eV per atom.

The structure in POSCAR format:
```
ScTaIr
1.0
0.000 3.132 3.132
3.132 0.000 3.132
3.132 3.132 0.000
Sc Ta Ir
1 1 1
Cartesian
0.000 0.000 0.000
3.132 3.132 3.132
1.566 1.566 1.566
```